1.
CsK2AuCl (PBE-GGA, optimized geometry); raw formation energy = -0.748 eV/atom; calculated total energy = -11.9 eV/f.u.
1.0
5.9475 0.0000 0.0000
0.0000 5.9475 0.0000
0.0000 0.0000 6.7153
Cs K Au Cl
1 2 1 1
Cartesian
0.0000 0.0000 0.0000 Cs
0.0000 2.9738 3.3576 K
2.9738 0.0000 3.3576 K
2.9738 2.9738 0.0000 Au
0.0000 0.0000 3.3576 Cl



2.
Cs2LiAu2Cl6 (PBE-GGA, optimized geometry); raw formation energy = -1.085 eV/atom; calculated total energy = -33.2 eV/f.u.
1.0
7.1183 -3.5099 0.0000
7.1183 3.5099 0.0000
-3.7941 0.0000 7.0085
Cs Li Au Cl
2 1 2 6
Cartesian
2.3818 0.0000 1.3702 Cs
8.0606 0.0000 5.6383 Cs
-1.8971 0.0000 3.5043 Li
3.2879 0.0000 5.1719 Au
7.1545 0.0000 1.8366 Au
5.5317 1.8295 1.6523 Cl
0.9718 0.0000 4.7554 Cl
4.9107 1.8295 5.3562 Cl
5.5317 -1.8295 1.6523 Cl
9.4707 0.0000 2.2531 Cl
4.9107 -1.8295 5.3562 Cl



3.
Cs2LiAuCl6 (PBE-GGA, optimized geometry); raw formation energy = -1.219 eV/atom; calculated total energy = -30.2 eV/f.u.
1.0
-3.6850 3.6850 5.2533
3.6850 -3.6850 5.2533
3.6850 3.6850 -5.2533
Cs Li Au Cl
2 1 1 6
Cartesian
3.6850 0.0000 2.6266 Cs
0.0000 3.6850 2.6266 Cs
0.0000 0.0000 0.0000 Li
0.0000 0.0000 5.2533 Au
1.7979 1.7979 0.0000 Cl
1.8871 -1.8871 5.2533 Cl
0.0000 0.0000 2.9016 Cl
0.0000 0.0000 7.6050 Cl
-1.8871 1.8871 5.2533 Cl
1.8871 1.8871 5.2533 Cl



4.
Cs2LiAuCl (PBE-GGA, optimized geometry); raw formation energy = -0.644 eV/atom; calculated total energy = -12.0 eV/f.u.
1.0
6.6843 0.0000 0.0000
0.0000 6.6843 0.0000
0.0000 0.0000 4.7969
Cs Li Au Cl
2 1 1 1
Cartesian
0.0000 3.3421 0.0000 Cs
3.3421 0.0000 0.0000 Cs
0.0000 0.0000 0.0000 Li
0.0000 0.0000 2.3985 Au
3.3421 3.3421 2.3985 Cl